1.
A geometry-optimized LiAl2Hg structure, computed with PBE-GGA.

- Formation enthalpy at 0 K: 0.0612 eV per atom
- Theoretical density: 5.9 Mg/m³
- D(E_F): 1.1 states/eV/f.u.

Structure (extended XYZ):
```
4
Lattice="2.992 0.000 0.000 0.000 2.992 0.000 0.000 0.000 8.240" Properties=species:S:1:pos:R:3 pbc="T T T"
Li 0.000 0.000 0.000
Al 1.496 1.496 1.939
Al 1.496 1.496 6.301
Hg 0.000 0.000 4.120
```

***

2.
A geometry-optimized LiAl2Hg structure, computed with PBE-GGA.

- Formation enthalpy at 0 K: -0.0342 eV per atom
- Theoretical density: 6.0 Mg/m³
- D(E_F): 0.9 states/eV/f.u.

Structure (extended XYZ):
```
4
Lattice="4.771 -1.478 0.000 4.771 1.478 0.000 -0.637 0.000 5.157" Properties=species:S:1:pos:R:3 pbc="T T T"
Li 0.000 0.000 0.000
Al 4.401 0.000 2.479
Al 6.958 0.000 1.374
Hg 1.917 0.000 4.035
```

***

3.
A geometry-optimized LiAlHg4 structure, computed with PBE-GGA.

- Formation enthalpy at 0 K: 0.1767 eV per atom
- Theoretical density: 9.3 Mg/m³
- D(E_F): 4.0 states/eV/f.u.

Structure (extended XYZ):
```
6
Lattice="0.000 4.217 4.217 4.217 0.000 4.217 4.217 4.217 0.000" Properties=species:S:1:pos:R:3 pbc="T T T"
Li 0.000 0.000 0.000
Al 6.325 6.325 6.325
Hg 3.161 3.161 3.161
Hg 5.273 5.273 3.161
Hg 5.273 3.161 5.273
Hg 3.161 5.273 5.273
```

***

4.
A geometry-optimized Li2AlHg2 structure, computed with PBE-GGA.

- Formation enthalpy at 0 K: -0.2003 eV per atom
- Theoretical density: 7.8 Mg/m³
- Polymorph energy (0 for the lowest one): 0.000 eV/atom
- D(E_F): 1.7 states/eV/f.u.

Structure (extended XYZ):
```
10
Lattice="7.562 0.000 0.000 0.000 7.562 0.000 0.000 0.000 3.279" Properties=species:S:1:pos:R:3 pbc="T T T"
Li 1.167 2.614 0.000
Li 2.614 6.395 0.000
Li 4.948 1.167 0.000
Li 6.395 4.948 0.000
Al 0.000 0.000 1.640
Al 3.781 3.781 1.640
Hg 1.101 4.882 1.640
Hg 2.680 1.101 1.640
Hg 4.882 6.461 1.640
Hg 6.461 2.680 1.640
```

***

5.
A geometry-optimized Li15Al2Hg2 structure, computed with PBE-GGA.

- Formation enthalpy at 0 K: -0.0469 eV per atom
- Theoretical density: 2.8 Mg/m³
- D(E_F): 8.2 states/eV/f.u.

Structure (extended XYZ):
```
19
Lattice="4.085 2.358 5.678 -4.085 2.358 5.678 0.000 -4.717 5.678" Properties=species:S:1:pos:R:3 pbc="T T T"
Li -4.085 0.000 8.517
Li -1.227 -2.591 5.678
Li -2.042 1.179 2.839
Li -2.858 0.233 5.678
Li -1.529 -0.883 7.493
Li 1.227 -2.591 5.678
Li -1.631 2.358 5.678
Li 0.000 -1.765 9.541
Li -1.529 0.883 9.541
Li 2.042 1.179 2.839
Li 1.529 -0.883 7.493
Li 0.000 1.765 7.493
Li 2.858 0.233 5.678
Li 1.631 2.358 5.678
Li 1.529 0.883 9.541
Al 0.000 0.000 1.462
Al 0.000 0.000 15.572
Hg 0.000 0.000 4.863
Hg 0.000 0.000 12.171
```

***

6.
A geometry-optimized LiAlHg2 structure, computed with PBE-GGA.

- Formation enthalpy at 0 K: -0.0926 eV per atom
- Theoretical density: 9.0 Mg/m³
- D(E_F): 1.1 states/eV/f.u.

Structure (extended XYZ):
```
4
Lattice="3.238 0.000 0.000 0.000 4.477 0.000 -1.329 0.000 5.521" Properties=species:S:1:pos:R:3 pbc="T T T"
Li 0.000 0.000 0.000
Al 1.806 2.238 1.984
Hg 0.171 0.000 2.772
Hg 0.342 2.238 4.799
```

***

7.
A geometry-optimized Li15AlHg4 structure, computed with PBE-GGA.

- Formation enthalpy at 0 K: -0.2286 eV per atom
- Theoretical density: 4.4 Mg/m³
- D(E_F): 3.4 states/eV/f.u.

Structure (extended XYZ):
```
20
Lattice="4.339 0.000 0.000 0.000 4.339 0.000 0.000 0.000 18.658" Properties=species:S:1:pos:R:3 pbc="T T T"
Li 0.000 0.000 0.000
Li 0.000 0.000 3.644
Li 0.000 0.000 7.426
Li 0.000 0.000 11.233
Li 0.000 0.000 15.014
Li 0.000 2.170 1.787
Li 0.000 2.170 5.515
Li 0.000 2.170 9.329
Li 0.000 2.170 13.143
Li 0.000 2.170 16.871
Li 2.170 0.000 1.787
Li 2.170 0.000 5.515
Li 2.170 0.000 9.329
Li 2.170 0.000 13.143
Li 2.170 0.000 16.871
Al 2.170 2.170 0.000
Hg 2.170 2.170 3.609
Hg 2.170 2.170 7.427
Hg 2.170 2.170 11.231
Hg 2.170 2.170 15.050
```

***

8.
A geometry-optimized LiAlHg2 structure, computed with PBE-GGA.

- Formation enthalpy at 0 K: -0.0778 eV per atom
- Theoretical density: 9.1 Mg/m³
- D(E_F): 1.2 states/eV/f.u.

Structure (extended XYZ):
```
4
Lattice="-1.937 2.146 4.798 1.937 -2.146 4.798 1.937 2.146 -4.798" Properties=species:S:1:pos:R:3 pbc="T T T"
Li 0.000 0.000 0.000
Al 1.937 0.000 2.421
Hg 0.000 0.000 4.740
Hg 0.000 2.146 2.388
```